KMgCl3 | GGA-PBE | optimized geometry

ρ = 2.23 Mg/m³
Volume = 25.290 Å³/atom
Uncorrected formation energy = -1887.4 meV/atom
Spin magnetization = 0.00 μB per formula unit

abc: 5.019 5.019 5.019
angles: 90.00 90.00 90.00
Fractional coordinates of all 5 atoms:
Cl (0.000, 0.500, 0.000)
Mg (0.000, 0.000, 0.000)
K (0.500, 0.500, 0.500)
Cl (0.500, 0.000, 0.000)
Cl (0.000, 0.000, 0.500)